A plane-wave DFT calculation with GGA-PBE was carried out for HfZnSi2Br after structural relaxation.

Lattice parameters (Å, degrees): 4.964 4.943 4.964 90.00 90.00 90.00
Element x y z (fractional)
Zn 0.500 0.500 0.500
Hf 0.000 0.500 0.000
Si 0.000 0.000 0.500
Si 0.500 0.000 0.000
Br 0.000 0.000 0.000

Computed properties:
energy relative to the elements, uncorrected: 6.5 eV per formula unit
D(E_F): 2.8 states/eV/f.u.



A plane-wave DFT calculation with GGA-PBE was carried out for SnTe2Pb after structural relaxation.

Lattice parameters (Å, degrees): 7.943 7.943 7.943 33.50 33.50 33.50
Element x y z (fractional)
Pb 0.000 0.000 0.000
Te 0.247 0.247 0.247
Te 0.753 0.753 0.753
Sn 0.500 0.500 0.500

Computed properties:
energy relative to the elements, uncorrected: -1.4 eV per formula unit
D(E_F): 0.0 states/eV/f.u.



A plane-wave DFT calculation with GGA-PBE was carried out for PmCo2Si3 after structural relaxation.

Lattice parameters (Å, degrees): 3.835 7.950 9.255 103.63 90.00 103.96
Element x y z (fractional)
Pm 0.151 0.302 0.699
Pm 0.849 0.698 0.301
Pm 0.000 0.000 0.000
Co 0.208 0.417 0.085
Co 0.792 0.583 0.915
Co 0.496 0.993 0.241
Co 0.504 0.007 0.759
Co 0.355 0.710 0.563
Co 0.645 0.290 0.437
Si 0.052 0.105 0.359
Si 0.948 0.895 0.641
Si 0.222 0.445 0.381
Si 0.778 0.555 0.619
Si 0.642 0.283 0.190
Si 0.358 0.717 0.810
Si 0.500 0.000 0.500
Si 0.355 0.711 0.065
Si 0.645 0.289 0.935

Computed properties:
energy relative to the elements, uncorrected: -3.9 eV per formula unit
excess energy over the best structure of this formula in the dataset: 28 meV/atom
D(E_F): 2.7 states/eV/f.u.



A plane-wave DFT calculation with GGA-PBE was carried out for BeZn2Re after structural relaxation.

Lattice parameters (Å, degrees): 3.914 2.633 5.263 75.66 90.00 90.00
Element x y z (fractional)
Re 0.500 0.707 0.711
Zn 0.000 0.063 0.001
Zn 0.500 0.439 0.245
Be 0.000 0.290 0.543

Computed properties:
formation enthalpy at 0 K: 0.128 eV/atom
D(E_F): 1.5 states/eV/f.u.



A plane-wave DFT calculation with GGA-PBE was carried out for RbPtSe2N after structural relaxation.

Lattice parameters (Å, degrees): 5.705 5.705 4.131 90.00 90.00 90.00
Element x y z (fractional)
Se 0.000 0.500 0.000
Se 0.500 0.000 0.000
Rb 0.000 0.000 0.000
Pt 0.500 0.500 0.500
N 0.000 0.000 0.500

Computed properties:
energy relative to the elements, uncorrected: 12.1 eV per formula unit
excess energy over the best structure of this formula in the dataset: 2233 meV/atom
D(E_F): 12.2 states/eV/f.u.



A plane-wave DFT calculation with GGA-PBE was carried out for CuTc2Hg after structural relaxation.

Lattice parameters (Å, degrees): 2.723 2.723 8.375 90.00 90.00 90.00
Last column: magnetic moment on the atom in μB.
Element x y z (fractional)
Cu 0.500 0.500 0.250  0.03
Hg 0.500 0.500 0.750  0.01
Tc 0.000 0.000 0.027  0.40
Tc 0.000 0.000 0.473  0.40

Computed properties:
formation enthalpy at 0 K: 0.599 eV/atom
D(E_F): 4.7 states/eV/f.u.



A plane-wave DFT calculation with GGA-PBE was carried out for LuHfMgIn after structural relaxation.

Lattice parameters (Å, degrees): 5.067 5.067 5.067 60.00 60.00 60.00
Element x y z (fractional)
Mg 0.500 0.500 0.500
Lu 0.750 0.750 0.750
Hf 0.250 0.250 0.250
In 0.000 0.000 0.000

Computed properties:
formation enthalpy at 0 K: -0.066 eV/atom
D(E_F): 3.8 states/eV/f.u.



A plane-wave DFT calculation with GGA-PBE was carried out for ThCoB after structural relaxation.

Lattice parameters (Å, degrees): 3.691 3.697 8.021 90.00 90.00 119.94
Element x y z (fractional)
Th 0.000 0.000 0.000
Th 0.000 0.000 0.500
B 0.667 0.334 0.250
B 0.333 0.666 0.750
Co 0.334 0.668 0.250
Co 0.666 0.332 0.750

Computed properties:
excess energy over the best structure of this formula in the dataset: 0 meV/atom
formation enthalpy at 0 K: -0.351 eV/atom
D(E_F): 3.1 states/eV/f.u.



A plane-wave DFT calculation with GGA-PBE was carried out for PmTcAs after structural relaxation.

Lattice parameters (Å, degrees): 3.306 3.306 5.935 106.17 106.17 90.00
Element x y z (fractional)
As 0.248 0.248 0.496
Tc 0.649 0.649 0.297
Pm 0.953 0.953 0.907

Computed properties:
excess energy over the best structure of this formula in the dataset: 269 meV/atom
formation enthalpy at 0 K: -0.396 eV/atom
D(E_F): 3.0 states/eV/f.u.



A plane-wave DFT calculation with GGA-PBE was carried out for Re2SiPb after structural relaxation.

Lattice parameters (Å, degrees): 3.123 3.123 6.927 90.00 90.00 90.00
Element x y z (fractional)
Pb 0.500 0.500 0.750
Re 0.000 0.000 0.063
Re 0.000 0.000 0.437
Si 0.500 0.500 0.250

Computed properties:
energy relative to the elements, uncorrected: 2.0 eV per formula unit
excess energy over the best structure of this formula in the dataset: 150 meV/atom
D(E_F): 3.7 states/eV/f.u.



A plane-wave DFT calculation with GGA-PBE was carried out for Na2PmSi3Au12 after structural relaxation.

Lattice parameters (Å, degrees): 7.588 7.588 7.588 73.06 73.06 73.06
Element x y z (fractional)
Na 0.582 0.582 0.582
Na 0.418 0.418 0.418
Pm 0.000 0.000 0.000
Si 0.500 0.000 0.000
Si 0.000 0.500 0.000
Si 0.000 0.000 0.500
Au 0.301 0.301 0.854
Au 0.830 0.830 0.402
Au 0.402 0.830 0.830
Au 0.854 0.301 0.301
Au 0.830 0.402 0.830
Au 0.301 0.854 0.301
Au 0.699 0.699 0.146
Au 0.170 0.170 0.598
Au 0.598 0.170 0.170
Au 0.146 0.699 0.699
Au 0.170 0.598 0.170
Au 0.699 0.146 0.699

Computed properties:
energy relative to the elements, uncorrected: -1.6 eV per formula unit
D(E_F): 4.6 states/eV/f.u.



A plane-wave DFT calculation with GGA-PBE was carried out for MgZn7Ag12 after structural relaxation.

Lattice parameters (Å, degrees): 7.552 7.552 7.552 107.89 107.89 107.89
Element x y z (fractional)
Mg 0.000 0.000 0.000
Zn 0.911 0.534 0.800
Zn 0.466 0.200 0.089
Zn 0.200 0.089 0.466
Zn 0.500 0.500 0.500
Zn 0.800 0.911 0.534
Zn 0.534 0.800 0.911
Zn 0.089 0.466 0.200
Ag 0.726 0.165 0.891
Ag 0.835 0.109 0.274
Ag 0.600 0.182 0.488
Ag 0.818 0.512 0.400
Ag 0.109 0.274 0.835
Ag 0.512 0.400 0.818
Ag 0.488 0.600 0.182
Ag 0.891 0.726 0.165
Ag 0.182 0.488 0.600
Ag 0.400 0.818 0.512
Ag 0.165 0.891 0.726
Ag 0.274 0.835 0.109

Computed properties:
formation enthalpy at 0 K: 0.005 eV/atom
D(E_F): 5.3 states/eV/f.u.



no.,E (eV/cell),mass density (Mg/m³),V (Å³ per cell)
1,-17.30,5.18,122
2,-15.37,7.10,136
3,-117.40,6.51,266
4,-18.21,10.30,53
5,-10.24,5.59,134
6,-22.73,12.30,62
7,-19.07,8.89,92
8,-44.51,10.57,95
9,-20.95,8.85,60
10,-32.03,14.93,68
11,-64.55,11.25,389
12,-44.63,8.44,350